! AlAsSe (PBEsol, optimized geometry); values from VASP
! ΔE_f (raw)   0.02 eV per atom
&SYSTEM
  ibrav = 0, nat = 12, ntyp = 3
/
ATOMIC_SPECIES
Al 26.98 Al.upf
As 74.92 As.upf
Se 78.96 Se.upf
CELL_PARAMETERS angstrom
3.811 0.000 0.000
0.000 5.479 0.000
0.000 0.000 11.250
ATOMIC_POSITIONS crystal
Al 0.000 0.000 0.000
Al 0.000 0.500 0.500
Al 0.500 0.000 0.500
Al 0.500 0.500 0.000
As 0.000 0.000 0.348
As 0.000 0.500 0.848
As 0.500 0.000 0.848
As 0.500 0.500 0.348
Se 0.000 0.000 0.640
Se 0.000 0.500 0.140
Se 0.500 0.000 0.140
Se 0.500 0.500 0.640

! AlAs2Se (PBEsol, optimized geometry); values from VASP
! Excess energy over the best structure of this formula in the dataset   0.300 eV per atom
! ΔE_f (raw)   0.14 eV per atom
&SYSTEM
  ibrav = 0, nat = 4, ntyp = 3
/
ATOMIC_SPECIES
Al 26.98 Al.upf
As 74.92 As.upf
Se 78.96 Se.upf
CELL_PARAMETERS angstrom
3.640 0.000 0.000
0.000 3.640 0.000
0.000 0.000 6.277
ATOMIC_POSITIONS crystal
Al 0.000 0.000 0.000
As 0.000 0.500 0.500
As 0.500 0.000 0.500
Se 0.500 0.500 0.000

! AlSnAs2Se (PBEsol, optimized geometry); values from VASP
! ΔE_f (raw)   0.23 eV per atom
&SYSTEM
  ibrav = 0, nat = 5, ntyp = 4
/
ATOMIC_SPECIES
Al 26.98 Al.upf
Sn 118.71 Sn.upf
As 74.92 As.upf
Se 78.96 Se.upf
CELL_PARAMETERS angstrom
4.826 0.000 0.000
0.000 4.826 0.000
0.000 0.000 4.899
ATOMIC_POSITIONS crystal
Al 0.000 0.000 0.000
Sn 0.500 0.500 0.500
As 0.000 0.500 0.000
As 0.500 0.000 0.000
Se 0.000 0.000 0.500

no.,total energy (eV per atom)
1,-4.33
2,-4.40
3,-4.25